Below is a crystal of NbZn2OsN relaxed with PBEsol, with properties calculated at the SCAN level.

For the magnetization, the calculation gives 1.04 Bohr magnetons per cell. The uncorrected formation energy is 1.58 eV/atom.

The space group is P4/mmm (No. 123) and the conventional cell measures 4.705, 4.705 and 4.718 Å, with angles of 90.00, 90.00 and 90.00 degrees. The asymmetric unit holds Nb at (0.000, 0.000, 0.000), Zn at (0.000, 0.500, 0.500), Os at (0.000, 0.000, 0.500) and N at (0.500, 0.500, 0.000).